Record 1
Density functional theory data (GGA-PBE) for a relaxed Y4In2O crystal.

abc: 4.655 4.655 8.869
angles: 74.79 74.79 90.00
Fractional coordinates of all 7 atoms:
In: 0.638 0.638 0.723
In: 0.362 0.362 0.277
Y: 0.831 0.831 0.338
Y: 0.000 0.500 0.000
Y: 0.169 0.169 0.662
Y: 0.500 0.000 0.000
O: 0.000 0.000 0.000

Output
The value obtained for the magnetization is 0.00 μB/f.u. The uncorrected formation energy comes out at -108.6 kJ/mol of atoms. The symmetry is I4/mmm, No. 139. As for the distance to the lowest polymorph of the same formula: 10 meV per atom. The value obtained for the total energy is -44.2 eV per cell. The density is 5594 kg/m3.

Record 2
Density functional theory data (GGA-PBE) for a relaxed InAg2Pd2 crystal.

abc: 5.600 5.050 12.169
angles: 142.39 103.30 90.00
Fractional coordinates of all 10 atoms:
Pd: 0.042 0.069 0.321
Pd: 0.958 0.931 0.679
Pd: 0.280 0.569 0.321
Pd: 0.720 0.431 0.679
Ag: 0.451 0.909 0.669
Ag: 0.549 0.091 0.331
Ag: 0.782 0.591 0.331
Ag: 0.218 0.409 0.669
In: 0.838 0.750 0.000
In: 0.162 0.250 0.000

Output
The value obtained for the magnetization is 0.00 μB/f.u. The symmetry is C2/c, No. 15. As for the distance to the lowest polymorph of the same formula: 106 meV per atom. The value obtained for the total energy is -38.6 eV per cell. The density is 9279 kg/m3.

Record 3
Density functional theory data (GGA-PBE) for a relaxed NpPaP crystal.

abc: 3.366 4.546 4.546
angles: 120.00 90.00 90.00
Site moments in Bohr magnetons follow the coordinates.
Fractional coordinates of all 3 atoms:
Pa: 0.716 0.667 0.333  0.79
Np: 0.036 0.000 0.000  3.69
P: 0.248 0.333 0.667  -0.03

Output
The value obtained for the magnetization is 4.64 μB/f.u. The symmetry is P3m1, No. 156. As for the distance to the lowest polymorph of the same formula: 301 meV per atom. The value obtained for the total energy is -28.4 eV per cell. The density is 13754 kg/m3.

Record 4
Density functional theory data (GGA-PBE) for a relaxed Nd6HgPt2 crystal.

abc: 5.033 6.017 9.446
angles: 78.33 90.00 114.72
Fractional coordinates of all 9 atoms:
Pt: 0.378 0.755 0.094
Pt: 0.622 0.245 0.906
Nd: 0.968 0.936 0.843
Nd: 0.032 0.064 0.157
Nd: 0.340 0.680 0.402
Nd: 0.660 0.320 0.598
Nd: 0.285 0.569 0.828
Nd: 0.715 0.431 0.172
Hg: 0.000 0.000 0.500

Output
The value obtained for the magnetization is 0.00 μB/f.u. The symmetry is C2/m, No. 12. As for the distance to the lowest polymorph of the same formula: 93 meV per atom. The value obtained for the total energy is -45.9 eV per cell. The density is 9545 kg/m3.

Record 5
Density functional theory data (GGA-PBE) for a relaxed Ce2Ag3PdS6 crystal.

abc: 4.090 7.430 8.523
angles: 102.80 103.88 90.00
Site moments in Bohr magnetons follow the coordinates.
Fractional coordinates of all 12 atoms:
S: 0.328 0.437 0.657  -0.01
S: 0.672 0.563 0.343  -0.01
S: 0.012 0.769 0.025  -0.01
S: 0.988 0.231 0.975  -0.01
S: 0.657 0.060 0.314  -0.01
S: 0.343 0.940 0.686  -0.01
Ce: 0.849 0.700 0.699  0.16
Ce: 0.151 0.300 0.301  0.16
Ag: 0.500 0.500 0.000  0.00
Ag: 0.820 0.197 0.641  0.00
Ag: 0.180 0.803 0.359  0.00
Pd: 0.500 0.000 0.000  -0.01

Output
The value obtained for the magnetization is 0.27 μB/f.u. The uncorrected formation energy comes out at -84.1 kJ/mol of atoms. The symmetry is C2/m, No. 12. The value obtained for the total energy is -60.8 eV per cell. The density is 6123 kg/m3.

Record 6
Density functional theory data (GGA-PBE) for a relaxed CaPu3Hf2N6 crystal.

abc: 3.364 6.778 7.594
angles: 102.89 102.80 90.00
Site moments in Bohr magnetons follow the coordinates.
Fractional coordinates of all 12 atoms:
N: 0.673 0.568 0.345  -0.04
N: 0.013 0.273 0.026  0.08
N: 0.672 0.104 0.345  -0.12
N: 0.987 0.727 0.974  0.08
N: 0.328 0.896 0.655  -0.12
N: 0.327 0.432 0.655  -0.04
Pu: 0.835 0.167 0.669  4.78
Pu: 0.165 0.833 0.331  4.78
Pu: 0.500 0.500 0.000  -4.24
Ca: 0.500 0.000 0.000  0.03
Hf: 0.832 0.663 0.663  0.04
Hf: 0.168 0.337 0.337  0.04

Output
The value obtained for the magnetization is 5.60 μB/f.u. The uncorrected formation energy comes out at -135.9 kJ/mol of atoms. The symmetry is C2/m, No. 12. The value obtained for the total energy is -131.8 eV per cell. The density is 12254 kg/m3.

Record 7
Density functional theory data (GGA-PBE) for a relaxed LiTc2Sb crystal.

abc: 4.505 2.889 5.023
angles: 85.07 90.00 90.00
Fractional coordinates of all 4 atoms:
Sb: 0.500 0.750 0.750
Tc: 0.000 0.562 0.475
Tc: 0.000 0.938 0.025
Li: 0.500 0.250 0.250

Output
The value obtained for the magnetization is 0.00 μB/f.u. The uncorrected formation energy comes out at 27.1 kJ/mol of atoms. The symmetry is P2/m, No. 10. The value obtained for the total energy is -25.6 eV per cell. The density is 8279 kg/m3.

Record 8
Density functional theory data (GGA-PBE) for a relaxed Hf2RuN2 crystal.

abc: 4.368 4.368 5.031
angles: 64.27 64.27 90.00
Fractional coordinates of all 5 atoms:
Hf: 0.750 0.250 0.500
Hf: 0.250 0.750 0.500
N: 0.265 0.265 0.470
N: 0.735 0.735 0.530
Ru: 0.000 0.000 0.000

Output
The value obtained for the magnetization is 0.00 μB/f.u. The uncorrected formation energy comes out at -80.9 kJ/mol of atoms. The symmetry is I4/mmm, No. 139. As for the distance to the lowest polymorph of the same formula: 0 meV per atom. The value obtained for the total energy is -50.0 eV per cell. The density is 10652 kg/m3.